Cs2NaMg: relaxed, PBE.

Calculated values
As for the crystal system: tetragonal. The value obtained for the calculated total energy is -0.987 eV per atom. As for the formation energy: 0.7 eV/f.u. The density of states at the Fermi level comes out at 2.680 states/eV/cell.

Cell lengths 6.8772, 6.8772, 5.2965 Å; angles 90.00, 90.00, 90.00 degrees
Space group P4/mmm (No. 123)
One atom of each set of equivalent atoms:
1 Cs 0.0000 0.5000 0.0000 [2 per cell]
2 Na 0.0000 0.0000 0.5000 [1 per cell]
3 Mg 0.5000 0.5000 0.5000 [1 per cell]



CsNa3Mg: relaxed, PBE.

Calculated values
As for the crystal system: cubic. The value obtained for the calculated total energy is -1.124 eV per atom. As for the formation energy: 0.8 eV/f.u. The density of states at the Fermi level comes out at 3.929 states/eV/cell.

Cell lengths 6.3444, 6.3444, 6.3444 Å; angles 90.00, 90.00, 90.00 degrees
Space group Pm-3m (No. 221)
One atom of each set of equivalent atoms:
1 Cs 0.0000 0.0000 0.0000 [1 per cell]
2 Na 0.0000 0.5000 0.5000 [3 per cell]
3 Mg 0.5000 0.5000 0.5000 [1 per cell]



Cs2NaMg: relaxed, PBE.

Calculated values
As for the crystal system: trigonal. The value obtained for the calculated total energy is -0.800 eV per atom. As for the formation energy: 1.4 eV/f.u. The density of states at the Fermi level comes out at 9.968 states/eV/cell.

Cell lengths 4.5915, 4.5915, 45.1012 Å; angles 90.00, 90.00, 120.00 degrees
Space group R-3m (No. 166, hexagonal axes)
One atom of each set of equivalent atoms:
1 Cs 0.0000 0.0000 0.0874 [6 per cell]
2 Na 0.0000 0.0000 0.5000 [3 per cell]
3 Mg 0.0000 0.0000 0.0000 [3 per cell]



Cs2NaMg2: relaxed, PBE.

Calculated values
As for the crystal system: tetragonal. The value obtained for the calculated total energy is -1.044 eV per atom. As for the formation energy: 1.0 eV/f.u. The density of states at the Fermi level comes out at 8.725 states/eV/cell.

Cell lengths 4.4705, 4.4705, 26.9656 Å; angles 90.00, 90.00, 90.00 degrees
Space group I4/mmm (No. 139)
One atom of each set of equivalent atoms:
1 Cs 0.0000 0.0000 0.1191 [4 per cell]
2 Na 0.0000 0.0000 0.5000 [2 per cell]
3 Mg 0.0000 0.5000 0.2500 [4 per cell]



CsNaMg3: relaxed, PBE.

Calculated values
As for the crystal system: cubic. The value obtained for the calculated total energy is -0.462 eV per atom. As for the formation energy: 4.6 eV/f.u. The density of states at the Fermi level comes out at 3.243 states/eV/cell.

Cell lengths 6.9691, 6.9691, 6.9691 Å; angles 90.00, 90.00, 90.00 degrees
Space group Pm-3m (No. 221)
One atom of each set of equivalent atoms:
1 Cs 0.0000 0.0000 0.0000 [1 per cell]
2 Na 0.5000 0.5000 0.5000 [1 per cell]
3 Mg 0.0000 0.0000 0.5000 [3 per cell]



Cs2Na15Mg2: relaxed, PBE.

Calculated values
As for the crystal system: trigonal. The value obtained for the calculated total energy is -1.248 eV per atom. As for the formation energy: 1.0 eV/f.u. The density of states at the Fermi level comes out at 21.505 states/eV/cell.

Cell lengths 12.4073, 12.4073, 17.8683 Å; angles 90.00, 90.00, 120.00 degrees
Space group R-3m (No. 166, hexagonal axes)
One atom of each set of equivalent atoms:
1 Cs 0.0000 0.0000 0.1559 [6 per cell]
2 Na 0.0000 0.2769 0.5000 [18 per cell]
3 Na 0.0000 0.5000 0.0000 [9 per cell]
4 Na 0.0185 0.5092 0.3503 [18 per cell]
5 Mg 0.0000 0.0000 0.4109 [6 per cell]



CsNaMg3: relaxed, PBE.

Calculated values
As for the crystal system: cubic. The value obtained for the calculated total energy is -0.957 eV per atom. As for the formation energy: 2.2 eV/f.u. The density of states at the Fermi level comes out at 4.920 states/eV/cell.

Cell lengths 6.0235, 6.0235, 6.0235 Å; angles 90.00, 90.00, 90.00 degrees
Space group Pm-3m (No. 221)
One atom of each set of equivalent atoms:
1 Cs 0.0000 0.0000 0.0000 [1 per cell]
2 Na 0.5000 0.5000 0.5000 [1 per cell]
3 Mg 0.0000 0.5000 0.5000 [3 per cell]



CsNa3Mg: relaxed, PBE.

Calculated values
As for the crystal system: cubic. The value obtained for the calculated total energy is -0.561 eV per atom. As for the formation energy: 3.6 eV/f.u. The density of states at the Fermi level comes out at 6.205 states/eV/cell.

Cell lengths 7.0083, 7.0083, 7.0083 Å; angles 90.00, 90.00, 90.00 degrees
Space group Pm-3m (No. 221)
One atom of each set of equivalent atoms:
1 Cs 0.0000 0.0000 0.0000 [1 per cell]
2 Na 0.0000 0.0000 0.5000 [3 per cell]
3 Mg 0.5000 0.5000 0.5000 [1 per cell]